# PBE Rb3Nd2InS6, optimized geometry
# calculated volume: 689.4 Å³ per cell
# density of states at the Fermi level: 0.00 states/eV/cell
# total energy: -4.797 eV/atom
# magnetic moment: 0.0 μB/f.u.
data_Rb3Nd2InS6
_cell_length_a 7.177
_cell_length_b 12.432
_cell_length_c 8.091
_cell_angle_alpha 90.00
_cell_angle_beta 107.25
_cell_angle_gamma 90.00
_space_group_name_H-M_alt 'C 1 2/m 1'
_space_group_IT_number 12
loop_
_space_group_symop_operation_xyz
'x,y,z'
'-x,-y,-z'
'-x,y,-z'
'x,-y,z'
'x+1/2,y+1/2,z'
'-x+1/2,-y+1/2,-z'
'-x+1/2,y+1/2,-z'
'x+1/2,-y+1/2,z'
loop_
_atom_site_label
_atom_site_type_symbol
_atom_site_fract_x
_atom_site_fract_y
_atom_site_fract_z
Rb1 Rb 0.000 0.000 0.000
Rb2 Rb 0.000 0.332 0.000
Nd1 Nd 0.000 0.166 0.500
In1 In 0.000 0.500 0.500
S1 S 0.225 0.340 0.694
S2 S 0.245 0.000 0.695